ZnP2WS: optimized geometry, PBE-GGA.

Cell lengths 4.796, 4.796, 4.579 Å; angles 90.00, 90.00, 90.00 degrees
Element x y z (fractional)
Zn  0.000  0.000  0.000
P  0.000  0.500  0.500
P  0.500  0.000  0.500
W  0.500  0.500  0.500
S  0.500  0.500  0.000



ReSn3S: optimized geometry, PBE-GGA.

Cell lengths 5.100, 5.100, 5.100 Å; angles 90.00, 90.00, 90.00 degrees
Element x y z (fractional)
Re  0.000  0.000  0.000
Sn  0.000  0.500  0.500
Sn  0.500  0.000  0.500
Sn  0.500  0.500  0.000
S  0.500  0.500  0.500



Ag2HgGe: optimized geometry, PBE-GGA.

Calculated values
Formation energy from the elements in eV per atom: 0.169

Cell lengths 4.996, 4.996, 3.138 Å; angles 90.00, 90.00, 90.00 degrees
Element x y z (fractional)
Ag  0.000  0.500  0.000
Ag  0.500  0.000  0.000
Hg  0.000  0.000  0.500
Ge  0.500  0.500  0.500



NaHf2InBi: optimized geometry, PBE-GGA.

Calculated values
Formation energy from the elements in eV per atom: 1.054

Cell lengths 5.771, 5.771, 5.998 Å; angles 90.00, 90.00, 90.00 degrees
Element x y z (fractional)
Na  0.000  0.000  0.000
Hf  0.000  0.500  0.500
Hf  0.500  0.000  0.500
In  0.500  0.500  0.000
Bi  0.000  0.000  0.500



La2PrNd4Dy: optimized geometry, PBE-GGA.

Calculated values
Formation energy from the elements in eV per atom: 0.018

Cell lengths 5.201, 5.211, 10.460 Å; angles 90.00, 90.10, 90.00 degrees
Element x y z (fractional)
La  0.000  0.000  0.000
La  0.500  0.500  0.500
Pr  0.000  0.000  0.500
Nd  0.000  0.500  0.247
Nd  0.000  0.500  0.753
Nd  0.500  0.000  0.248
Nd  0.500  0.000  0.752
Dy  0.500  0.500  0.000



Cd5AgHg6: optimized geometry, PBE-GGA.

Calculated values
Formation energy from the elements in eV per atom: 0.024

Cell lengths 6.406, 6.406, 9.536 Å; angles 94.42, 94.42, 132.03 degrees
Element x y z (fractional)
Cd  0.000  0.000  0.000
Cd  0.152  0.848  0.500
Cd  0.327  0.673  0.000
Cd  0.673  0.327  0.000
Cd  0.848  0.152  0.500
Ag  0.500  0.500  0.500
Hg  0.099  0.433  0.259
Hg  0.260  0.260  0.754
Hg  0.433  0.099  0.259
Hg  0.567  0.901  0.741
Hg  0.740  0.740  0.246
Hg  0.901  0.567  0.741



Zn2RuW: optimized geometry, PBE-GGA.

Calculated values
Formation energy from the elements in eV per atom: 0.256

Cell lengths 3.750, 3.750, 4.163 Å; angles 90.00, 90.00, 90.00 degrees
Element x y z (fractional)
Zn  0.000  0.500  0.000
Zn  0.500  0.000  0.000
Ru  0.000  0.000  0.500
W  0.500  0.500  0.500



ZrTlCoNi: optimized geometry, PBE-GGA.

Calculated values
Formation energy from the elements in eV per atom: -0.078

Cell lengths 4.500, 4.500, 4.500 Å; angles 60.00, 60.00, 60.00 degrees
Element x y z (fractional)
Zr  0.000  0.000  0.000
Tl  0.500  0.500  0.500
Co  0.750  0.750  0.750
Ni  0.250  0.250  0.250



PmHoCuAs: optimized geometry, PBE-GGA.

Calculated values
Formation energy from the elements in eV per atom: -0.581

Cell lengths 5.013, 5.013, 5.013 Å; angles 60.00, 60.00, 60.00 degrees
Element x y z (fractional)
Pm  0.000  0.000  0.000
Ho  0.500  0.500  0.500
Cu  0.250  0.250  0.250
As  0.750  0.750  0.750



Tl4In3Hg2: optimized geometry, PBE-GGA.

Calculated values
Formation energy from the elements in eV per atom: 0.014

Cell lengths 3.438, 3.438, 25.445 Å; angles 90.00, 90.00, 120.00 degrees
Element x y z (fractional)
Tl  0.000  0.000  0.000
Tl  0.000  0.000  0.219
Tl  0.333  0.667  0.335
Tl  0.333  0.667  0.560
In  0.000  0.000  0.446
In  0.333  0.667  0.110
In  0.333  0.667  0.770
Hg  0.000  0.000  0.667
Hg  0.000  0.000  0.878



TbNd2YEr6: optimized geometry, PBE-GGA.

Calculated values
Formation energy from the elements in eV per atom: 0.117

Cell lengths 8.754, 8.754, 9.652 Å; angles 94.58, 94.58, 118.31 degrees
Element x y z (fractional)
Tb  0.093  0.907  0.750
Tb  0.907  0.093  0.250
Nd  0.201  0.308  0.957
Nd  0.308  0.201  0.457
Nd  0.692  0.799  0.543
Nd  0.799  0.692  0.043
Y  0.482  0.518  0.250
Y  0.518  0.482  0.750
Er  0.002  0.791  0.381
Er  0.076  0.524  0.187
Er  0.209  0.998  0.119
Er  0.244  0.626  0.557
Er  0.374  0.756  0.943
Er  0.476  0.924  0.313
Er  0.524  0.076  0.687
Er  0.626  0.244  0.057
Er  0.756  0.374  0.443
Er  0.791  0.002  0.881
Er  0.924  0.476  0.813
Er  0.998  0.209  0.619



BaHgPbSe3: optimized geometry, PBE-GGA.

Cell lengths 9.217, 4.415, 10.032 Å; angles 90.00, 97.77, 90.00 degrees
Element x y z (fractional)
Ba  0.165  0.250  0.211
Ba  0.835  0.750  0.789
Hg  0.117  0.250  0.607
Hg  0.883  0.750  0.393
Pb  0.357  0.750  0.863
Pb  0.643  0.250  0.137
Se  0.108  0.250  0.870
Se  0.207  0.750  0.485
Se  0.411  0.750  0.149
Se  0.589  0.250  0.851
Se  0.793  0.250  0.515
Se  0.892  0.750  0.130



SrTm2GeN4: optimized geometry, PBE-GGA.

Cell lengths 6.149, 6.149, 11.681 Å; angles 90.00, 90.00, 148.12 degrees
Element x y z (fractional)
Sr  0.095  0.905  0.750
Sr  0.905  0.095  0.250
Tm  0.370  0.630  0.538
Tm  0.370  0.630  0.962
Tm  0.630  0.370  0.038
Tm  0.630  0.370  0.462
Ge  0.176  0.824  0.250
Ge  0.824  0.176  0.750
N  0.000  0.000  0.000
N  0.000  0.000  0.500
N  0.260  0.740  0.118
N  0.260  0.740  0.382
N  0.417  0.583  0.750
N  0.583  0.417  0.250
N  0.740  0.260  0.618
N  0.740  0.260  0.882



Hf2Ag2Pd: optimized geometry, PBE-GGA.

Calculated values
Formation energy from the elements in eV per atom: 0.016

Cell lengths 7.299, 7.299, 3.622 Å; angles 90.00, 90.00, 90.00 degrees
Element x y z (fractional)
Hf  0.173  0.327  0.000
Hf  0.327  0.827  0.000
Hf  0.673  0.173  0.000
Hf  0.827  0.673  0.000
Ag  0.131  0.631  0.500
Ag  0.369  0.131  0.500
Ag  0.631  0.869  0.500
Ag  0.869  0.369  0.500
Pd  0.000  0.000  0.500
Pd  0.500  0.500  0.500



Tc2SnH: optimized geometry, PBE-GGA.

Cell lengths 6.842, 6.842, 6.842 Å; angles 25.43, 25.43, 25.43 degrees
Element x y z (fractional)
Tc  0.219  0.219  0.219
Tc  0.781  0.781  0.781
Sn  0.000  0.000  0.000
H  0.500  0.500  0.500



LiRh8: optimized geometry, PBE-GGA.

Calculated values
Formation energy from the elements in eV per atom: 0.018

Cell lengths 6.043, 6.043, 6.043 Å; angles 95.78, 95.78, 142.99 degrees
Element x y z (fractional)
Li  0.000  0.000  0.000
Rh  0.000  0.331  0.331
Rh  0.000  0.669  0.669
Rh  0.331  0.000  0.331
Rh  0.332  0.332  0.663
Rh  0.332  0.668  0.000
Rh  0.668  0.332  0.000
Rh  0.668  0.668  0.337
Rh  0.669  0.000  0.669



TbY4Ho7: optimized geometry, PBE-GGA.

Calculated values
Formation energy from the elements in eV per atom: 0.285

Cell lengths 6.673, 6.673, 12.656 Å; angles 115.01, 115.01, 52.03 degrees
Element x y z (fractional)
Tb  0.000  0.000  0.000
Y  0.140  0.140  0.776
Y  0.437  0.437  0.681
Y  0.563  0.563  0.319
Y  0.860  0.860  0.224
Ho  0.133  0.133  0.500
Ho  0.259  0.259  0.321
Ho  0.287  0.287  0.076
Ho  0.500  0.500  0.000
Ho  0.713  0.713  0.924
Ho  0.741  0.741  0.679
Ho  0.867  0.867  0.500



LaCd2Bi2: optimized geometry, PBE-GGA.

Calculated values
Formation energy from the elements in eV per atom: -0.433

Cell lengths 13.417, 13.417, 4.659 Å; angles 90.00, 90.00, 160.11 degrees
Element x y z (fractional)
La  0.150  0.850  0.750
La  0.850  0.150  0.250
Cd  0.037  0.963  0.250
Cd  0.459  0.541  0.250
Cd  0.541  0.459  0.750
Cd  0.963  0.037  0.750
Bi  0.250  0.750  0.250
Bi  0.372  0.628  0.750
Bi  0.628  0.372  0.250
Bi  0.750  0.250  0.750



CoCuOs2: optimized geometry, PBE-GGA.

Calculated values
Formation energy from the elements in eV per atom: 0.356

Cell lengths 4.922, 4.922, 4.922 Å; angles 145.82, 129.40, 62.49 degrees
Element x y z (fractional)
Co  0.000  0.000  0.000
Cu  0.230  0.730  0.500
Os  0.484  0.484  0.000
Os  0.747  0.247  0.500



Ga2TcSbAs: optimized geometry, PBE-GGA.

Cell lengths 4.957, 4.957, 4.746 Å; angles 90.00, 90.00, 90.00 degrees
Element x y z (fractional)
Ga  0.000  0.500  0.000
Ga  0.500  0.000  0.000
Tc  0.000  0.000  0.000
Sb  0.500  0.500  0.500
As  0.000  0.000  0.500



no.,spin magnetization (μB per cell),raw total energy (eV/atom)
1,0.000,-5.39
2,2.869,-4.46
3,0.000,-2.49
4,0.123,-4.52
5,0.000,-4.77
6,0.000,-0.75
7,0.000,-5.94
8,0.861,-6.03
9,0.000,-5.10
10,0.000,-2.02
11,0.000,-4.68
12,0.000,-3.63
13,0.000,-7.20
14,0.000,-6.14
15,0.000,-6.89
16,0.000,-6.73
17,0.000,-4.93
18,0.000,-3.34
19,1.307,-8.06
20,1.503,-4.70